Entry 1:
# PBE-GGA NaPrBi4O8, relaxed
data_NaPrBi4O8
_chemical_formula_sum 'Na3 Pr3 Bi12 O24'
_cell_length_a 7.0994
_cell_length_b 7.0994
_cell_length_c 17.9522
_cell_angle_alpha 90.00
_cell_angle_beta 90.00
_cell_angle_gamma 120.00
_symmetry_space_group_name_H-M 'R 3 m'
_symmetry_Int_Tables_number 160
_symmetry_space_group_name_Hall 'R 3 -2"'
loop_
_atom_site_label
_atom_site_type_symbol
_atom_site_fract_x
_atom_site_fract_y
_atom_site_fract_z
Na1 Na 0.0000 0.0000 0.0000
Pr1 Pr 0.0000 0.0000 0.6205
Bi1 Bi 0.0000 0.0000 0.2443
Bi2 Bi 0.1703 0.3405 0.4510
O1 O 0.0000 0.0000 0.3683
O2 O 0.0000 0.0000 0.8505
O3 O 0.0418 0.5209 0.3799
O4 O 0.1773 0.3547 0.2068
# crystal system = trigonal
# E_form (uncorrected) = -1.5711 eV per atom
# total magnetization = 0.0 μB per formula unit


Entry 2:
# PBE-GGA Na3Pr3BiO8, relaxed
data_Na3Pr3BiO8
_chemical_formula_sum 'Na9 Pr9 Bi3 O24'
_cell_length_a 7.2061
_cell_length_b 7.2061
_cell_length_c 16.9176
_cell_angle_alpha 90.00
_cell_angle_beta 90.00
_cell_angle_gamma 120.00
_symmetry_space_group_name_H-M 'R -3 m'
_symmetry_Int_Tables_number 166
_symmetry_space_group_name_Hall '-R 3 2"'
loop_
_atom_site_label
_atom_site_type_symbol
_atom_site_fract_x
_atom_site_fract_y
_atom_site_fract_z
Na1 Na 0.0000 0.5000 0.0000
Pr1 Pr 0.0000 0.5000 0.5000
Bi1 Bi 0.0000 0.0000 0.5000
O1 O 0.0000 0.0000 0.2376
O2 O 0.0201 0.5101 0.2368
# crystal system = trigonal
# E_form (uncorrected) = -2.2549 eV per atom
# total magnetization = 0.0 μB per formula unit


Entry 3:
# PBE-GGA NaSrPrBiO6, relaxed
data_NaSrPrBiO6
_chemical_formula_sum 'Na4 Sr4 Pr4 Bi4 O24'
_cell_length_a 8.8397
_cell_length_b 8.8397
_cell_length_c 8.8397
_cell_angle_alpha 90.00
_cell_angle_beta 90.00
_cell_angle_gamma 90.00
_symmetry_space_group_name_H-M 'F -4 3 m'
_symmetry_Int_Tables_number 216
_symmetry_space_group_name_Hall 'F -4 2 3'
loop_
_atom_site_label
_atom_site_type_symbol
_atom_site_fract_x
_atom_site_fract_y
_atom_site_fract_z
Na1 Na 0.0000 0.0000 0.0000
Sr1 Sr 0.0000 0.0000 0.5000
Pr1 Pr 0.2500 0.2500 0.2500
Bi1 Bi 0.2500 0.2500 0.7500
O1 O 0.0116 0.2500 0.7500
# crystal system = cubic
# E_form (uncorrected) = -1.7875 eV per atom
# total magnetization = 1.1 μB per formula unit


Entry 4:
# PBE-GGA NaBi2PtO6, relaxed
data_NaBi2PtO6
_chemical_formula_sum 'Na3 Bi6 Pt3 O18'
_cell_length_a 5.7525
_cell_length_b 5.7525
_cell_length_c 15.1867
_cell_angle_alpha 90.00
_cell_angle_beta 90.00
_cell_angle_gamma 120.00
_symmetry_space_group_name_H-M 'R 3'
_symmetry_Int_Tables_number 146
_symmetry_space_group_name_Hall 'R 3'
loop_
_atom_site_label
_atom_site_type_symbol
_atom_site_fract_x
_atom_site_fract_y
_atom_site_fract_z
Na1 Na 0.0000 0.0000 0.0000
Bi1 Bi 0.0000 0.0000 0.2732
Bi2 Bi 0.0000 0.0000 0.7858
Pt1 Pt 0.0000 0.0000 0.4783
O1 O 0.0081 0.3889 0.2156
O2 O 0.0678 0.6779 0.0607
# crystal system = trigonal
# E_form (uncorrected) = -1.0474 eV per atom
# total magnetization = 0.0 μB per formula unit


Entry 5:
# PBE-GGA Na4Bi3PtO8, relaxed
data_Na4Bi3PtO8
_chemical_formula_sum 'Na8 Bi6 Pt2 O16'
_cell_length_a 12.7438
_cell_length_b 6.7321
_cell_length_c 6.6928
_cell_angle_alpha 90.00
_cell_angle_beta 121.23
_cell_angle_gamma 90.00
_symmetry_space_group_name_H-M 'C 1 2/m 1'
_symmetry_Int_Tables_number 12
_symmetry_space_group_name_Hall '-C 2y'
loop_
_atom_site_label
_atom_site_type_symbol
_atom_site_fract_x
_atom_site_fract_y
_atom_site_fract_z
Na1 Na 0.0000 0.0000 0.0000
Na2 Na 0.0000 0.5000 0.0000
Na3 Na 0.2500 0.2500 0.0000
Bi1 Bi 0.0000 0.0000 0.5000
Bi2 Bi 0.2500 0.2500 0.5000
Pt1 Pt 0.0000 0.5000 0.5000
O1 O 0.0255 0.2840 0.3132
O2 O 0.2039 0.0000 0.2219
O3 O 0.2230 0.0000 0.7272
# crystal system = monoclinic
# E_form (uncorrected) = -1.1628 eV per atom
# total magnetization = 0.0 μB per formula unit


Entry 6:
# PBE-GGA NaBiPtO4, relaxed
data_NaBiPtO4
_chemical_formula_sum 'Na4 Bi4 Pt4 O16'
_cell_length_a 6.1251
_cell_length_b 6.5473
_cell_length_c 11.0054
_cell_angle_alpha 90.00
_cell_angle_beta 90.00
_cell_angle_gamma 90.00
_symmetry_space_group_name_H-M 'I m m a'
_symmetry_Int_Tables_number 74
_symmetry_space_group_name_Hall '-I 2b 2'
loop_
_atom_site_label
_atom_site_type_symbol
_atom_site_fract_x
_atom_site_fract_y
_atom_site_fract_z
Na1 Na 0.0000 0.2500 0.1691
Bi1 Bi 0.0000 0.0000 0.5000
Pt1 Pt 0.2500 0.2500 0.7500
O1 O 0.0000 0.0563 0.7053
O2 O 0.2286 0.2500 0.4706
# crystal system = orthorhombic
# E_form (uncorrected) = -0.8746 eV per atom
# total magnetization = 0.0 μB per formula unit


Entry 7:
# PBE-GGA Na2BiPtO4, relaxed
data_Na2BiPtO4
_chemical_formula_sum 'Na4 Bi2 Pt2 O8'
_cell_length_a 5.9656
_cell_length_b 5.9656
_cell_length_c 6.5409
_cell_angle_alpha 90.00
_cell_angle_beta 90.00
_cell_angle_gamma 90.00
_symmetry_space_group_name_H-M 'I -4'
_symmetry_Int_Tables_number 82
_symmetry_space_group_name_Hall 'I -4'
loop_
_atom_site_label
_atom_site_type_symbol
_atom_site_fract_x
_atom_site_fract_y
_atom_site_fract_z
Na1 Na 0.0000 0.0000 0.0000
Na2 Na 0.0000 0.5000 0.2500
Bi1 Bi 0.0000 0.5000 0.7500
Pt1 Pt 0.0000 0.0000 0.5000
O1 O 0.1799 0.2832 0.5116
# crystal system = tetragonal
# E_form (uncorrected) = -1.0823 eV per atom
# total magnetization = 0.0 μB per formula unit


Entry 8:
# PBE-GGA NaPuBi2O8, relaxed
data_NaPuBi2O8
_chemical_formula_sum 'Na1 Pu1 Bi2 O8'
_cell_length_a 5.1626
_cell_length_b 6.8868
_cell_length_c 5.1671
_cell_angle_alpha 90.00
_cell_angle_beta 90.78
_cell_angle_gamma 90.00
_symmetry_space_group_name_H-M 'P 1 2/m 1'
_symmetry_Int_Tables_number 10
_symmetry_space_group_name_Hall '-P 2y'
loop_
_atom_site_label
_atom_site_type_symbol
_atom_site_fract_x
_atom_site_fract_y
_atom_site_fract_z
Na1 Na 0.0000 0.0000 0.0000
Pu1 Pu 0.0000 0.5000 0.0000
Bi1 Bi 0.5000 0.2450 0.5000
O1 O 0.1862 0.2924 0.1847
O2 O 0.2976 0.5000 0.7007
O3 O 0.3139 0.0000 0.6847
# crystal system = monoclinic
# E_form (uncorrected) = -1.5588 eV per atom
# total magnetization = 1.3 μB per formula unit


Entry 9:
# PBE-GGA NaPu2BiO8, relaxed
data_NaPu2BiO8
_chemical_formula_sum 'Na1 Pu2 Bi1 O8'
_cell_length_a 5.8414
_cell_length_b 5.8414
_cell_length_c 5.5471
_cell_angle_alpha 90.00
_cell_angle_beta 90.00
_cell_angle_gamma 120.00
_symmetry_space_group_name_H-M 'P -3'
_symmetry_Int_Tables_number 147
_symmetry_space_group_name_Hall '-P 3'
loop_
_atom_site_label
_atom_site_type_symbol
_atom_site_fract_x
_atom_site_fract_y
_atom_site_fract_z
Na1 Na 0.0000 0.0000 0.0000
Pu1 Pu 0.3333 0.6667 0.9287
Bi1 Bi 0.0000 0.0000 0.5000
O1 O 0.0583 0.3610 0.1787
O2 O 0.3333 0.6667 0.5935
# crystal system = trigonal
# E_form (uncorrected) = -1.6758 eV per atom
# total magnetization = 4.0 μB per formula unit


Entry 10:
# PBE-GGA Na2PuBiO6, relaxed
data_Na2PuBiO6
_chemical_formula_sum 'Na6 Pu3 Bi3 O18'
_cell_length_a 5.8594
_cell_length_b 5.8594
_cell_length_c 14.9203
_cell_angle_alpha 90.00
_cell_angle_beta 90.00
_cell_angle_gamma 120.00
_symmetry_space_group_name_H-M 'R 3'
_symmetry_Int_Tables_number 146
_symmetry_space_group_name_Hall 'R 3'
loop_
_atom_site_label
_atom_site_type_symbol
_atom_site_fract_x
_atom_site_fract_y
_atom_site_fract_z
Na1 Na 0.0000 0.0000 0.0000
Na2 Na 0.0000 0.0000 0.4967
Pu1 Pu 0.0000 0.0000 0.7738
Bi1 Bi 0.0000 0.0000 0.2700
O1 O 0.0342 0.6202 0.5214
O2 O 0.0771 0.3547 0.3658
# crystal system = trigonal
# E_form (uncorrected) = -1.9245 eV per atom
# total magnetization = 1.0 μB per formula unit


Entry 11:
# PBE-GGA NaPuBi2O6, relaxed
data_NaPuBi2O6
_chemical_formula_sum 'Na3 Pu3 Bi6 O18'
_cell_length_a 5.9792
_cell_length_b 5.9792
_cell_length_c 15.4833
_cell_angle_alpha 90.00
_cell_angle_beta 90.00
_cell_angle_gamma 120.00
_symmetry_space_group_name_H-M 'R 3'
_symmetry_Int_Tables_number 146
_symmetry_space_group_name_Hall 'R 3'
loop_
_atom_site_label
_atom_site_type_symbol
_atom_site_fract_x
_atom_site_fract_y
_atom_site_fract_z
Na1 Na 0.0000 0.0000 0.0000
Pu1 Pu 0.0000 0.0000 0.4834
Bi1 Bi 0.0000 0.0000 0.2755
Bi2 Bi 0.0000 0.0000 0.7848
O1 O 0.0402 0.3400 0.5486
O2 O 0.0636 0.6690 0.0588
# crystal system = trigonal
# E_form (uncorrected) = -1.8230 eV per atom
# total magnetization = 3.0 μB per formula unit


Entry 12:
# PBE-GGA Na2PuBi2O6, relaxed
data_Na2PuBi2O6
_chemical_formula_sum 'Na4 Pu2 Bi4 O12'
_cell_length_a 6.2266
_cell_length_b 10.5364
_cell_length_c 6.0419
_cell_angle_alpha 90.00
_cell_angle_beta 108.50
_cell_angle_gamma 90.00
_symmetry_space_group_name_H-M 'C 1 2/m 1'
_symmetry_Int_Tables_number 12
_symmetry_space_group_name_Hall '-C 2y'
loop_
_atom_site_label
_atom_site_type_symbol
_atom_site_fract_x
_atom_site_fract_y
_atom_site_fract_z
Na1 Na 0.0000 0.1653 0.0000
Pu1 Pu 0.0000 0.0000 0.5000
Bi1 Bi 0.0000 0.3320 0.5000
O1 O 0.1981 0.0000 0.2800
O2 O 0.2169 0.1722 0.7042
# crystal system = monoclinic
# E_form (uncorrected) = -1.7602 eV per atom
# total magnetization = 4.0 μB per formula unit